[1]
A geometry-optimized RbLi2Bi2 structure, computed with PBE.

Calculated values
The energy of formation from the pure elements is -319 meV/atom. The size of the total moment comes out at 0.00 μB/f.u. As for the offset from the most stable computed form: 0.054 eV/atom.

Cell: 9.4477 9.4477 3.3396 Å, 90.00 90.00 90.00°
Space group P4/mbm (No. 127)
Asymmetric unit:
Rb (0.0000, 0.0000, 0.0000) (multiplicity 2)
Li (0.1369, 0.3631, 0.5000) (multiplicity 4)
Bi (0.1390, 0.6390, 0.0000) (multiplicity 4)

[2]
A geometry-optimized Ti2AlPdN structure, computed with PBE.

Calculated values
The size of the total moment comes out at 0.00 μB/f.u.

Cell: 4.0930 4.0930 4.0298 Å, 90.00 90.00 90.00°
Space group P4/mmm (No. 123)
Asymmetric unit:
Ti (0.0000, 0.5000, 0.0000) (multiplicity 2)
Al (0.0000, 0.0000, 0.5000) (multiplicity 1)
Pd (0.5000, 0.5000, 0.5000) (multiplicity 1)
N (0.0000, 0.0000, 0.0000) (multiplicity 1)

[3]
A geometry-optimized Pm4InTe3 structure, computed with PBE.

Calculated values
The size of the total moment comes out at 0.00 μB/f.u. As for the offset from the most stable computed form: 0.000 eV/atom.

Cell: 6.3322 6.3322 12.6588 Å, 90.00 90.00 90.00°
Space group I4/mmm (No. 139)
Asymmetric unit:
Pm (0.0000, 0.0000, 0.2479) (multiplicity 4)
Pm (0.0000, 0.5000, 0.0000) (multiplicity 4)
In (0.0000, 0.0000, 0.0000) (multiplicity 2)
Te (0.0000, 0.0000, 0.5000) (multiplicity 2)
Te (0.0000, 0.5000, 0.2500) (multiplicity 4)

[4]
A geometry-optimized KPmReN3 structure, computed with PBE.

Calculated values
The size of the total moment comes out at 0.00 μB/f.u.

Cell: 13.6823 3.9334 7.8571 Å, 90.00 105.13 90.00°
Space group C2/m (No. 12)
Asymmetric unit:
K (0.1409, 0.0000, 0.0687) (multiplicity 4)
Pm (0.1622, 0.0000, 0.5849) (multiplicity 4)
Re (0.0044, 0.5000, 0.3318) (multiplicity 4)
N (0.0097, 0.0000, 0.3285) (multiplicity 4)
N (0.1332, 0.5000, 0.7908) (multiplicity 4)
N (0.1554, 0.5000, 0.3703) (multiplicity 4)

[5]
A geometry-optimized Zn2NiMo structure, computed with PBE.

Calculated values
The energy of formation from the pure elements is 79 meV/atom. The size of the total moment comes out at 0.00 μB/f.u. As for the offset from the most stable computed form: 0.136 eV/atom.

Cell: 2.5985 4.1888 5.1322 Å, 90.00 100.53 90.00°
Space group P2/m (No. 10)
Asymmetric unit:
Zn (0.1646, 0.0000, 0.2622) (multiplicity 2)
Ni (0.0000, 0.5000, 0.5000) (multiplicity 1)
Mo (0.5000, 0.5000, 0.0000) (multiplicity 1)

[6]
A geometry-optimized ScTa2Hg structure, computed with PBE.

Calculated values
The energy of formation from the pure elements is 260 meV/atom. The size of the total moment comes out at 0.00 μB/f.u.

Cell: 3.3728 5.0102 9.4169 Å, 90.00 90.00 90.00°
Space group Imm2 (No. 44)
Asymmetric unit:
Sc (0.0000, 0.0000, 0.0000) (multiplicity 2)
Ta (0.0000, 0.0000, 0.4829) (multiplicity 2)
Ta (0.0000, 0.5000, 0.7597) (multiplicity 2)
Hg (0.0000, 0.5000, 0.2389) (multiplicity 2)

[7]
A geometry-optimized BaSr2In2 structure, computed with PBE.

Calculated values
The energy of formation from the pure elements is -320 meV/atom. The size of the total moment comes out at 0.00 μB/f.u. As for the offset from the most stable computed form: 0.007 eV/atom.

Cell: 9.8989 9.8989 3.8640 Å, 90.00 90.00 90.00°
Space group P4/mbm (No. 127)
Asymmetric unit:
Ba (0.0000, 0.0000, 0.0000) (multiplicity 2)
Sr (0.1304, 0.3696, 0.0000) (multiplicity 4)
In (0.1675, 0.6675, 0.5000) (multiplicity 4)

[8]
A geometry-optimized NaTb2Zr structure, computed with PBE.

Calculated values
The energy of formation from the pure elements is 118 meV/atom. The size of the total moment comes out at 0.00 μB/f.u.

Cell: 3.4152 3.4152 10.3979 Å, 90.00 90.00 90.00°
Space group P4/mmm (No. 123)
Asymmetric unit:
Na (0.0000, 0.0000, 0.0000) (multiplicity 1)
Tb (0.5000, 0.5000, 0.2839) (multiplicity 2)
Zr (0.0000, 0.0000, 0.5000) (multiplicity 1)

[9]
A geometry-optimized Tm4Cd3Hg2 structure, computed with PBE.

Calculated values
The energy of formation from the pure elements is -328 meV/atom. The size of the total moment comes out at 0.00 μB/f.u.

Cell: 5.1282 5.1282 9.7572 Å, 90.00 90.00 120.00°
Space group P-3m1 (No. 164)
Asymmetric unit:
Tm (0.0000, 0.0000, 0.1719) (multiplicity 2)
Tm (0.3333, 0.6667, 0.6178) (multiplicity 2)
Cd (0.0000, 0.0000, 0.5000) (multiplicity 1)
Cd (0.3333, 0.6667, 0.9700) (multiplicity 2)
Hg (0.3333, 0.6667, 0.3020) (multiplicity 2)

[10]
A geometry-optimized VIr3N structure, computed with PBE.

Calculated values
The size of the total moment comes out at 3.21 μB/f.u.

Cell: 4.5377 4.5377 4.5377 Å, 90.00 90.00 90.00°
Space group Pm-3m (No. 221)
Asymmetric unit:
V (0.0000, 0.0000, 0.0000) (multiplicity 1)
Ir (0.0000, 0.0000, 0.5000) (multiplicity 3)
N (0.5000, 0.5000, 0.5000) (multiplicity 1)

[11]
A geometry-optimized YAgSn structure, computed with PBE.

Calculated values
The energy of formation from the pure elements is -593 meV/atom. The size of the total moment comes out at 0.00 μB/f.u.

Cell: 7.4265 4.5612 12.7155 Å, 90.00 90.27 90.00°
Space group P2_1/m (No. 11)
Asymmetric unit:
Y (0.0150, 0.2500, 0.1986) (multiplicity 2)
Y (0.3287, 0.7500, 0.5782) (multiplicity 2)
Y (0.4844, 0.7500, 0.8700) (multiplicity 2)
Ag (0.0011, 0.2500, 0.5899) (multiplicity 2)
Ag (0.1502, 0.2500, 0.9575) (multiplicity 2)
Ag (0.3529, 0.7500, 0.2930) (multiplicity 2)
Sn (0.2422, 0.7500, 0.0761) (multiplicity 2)
Sn (0.2478, 0.2500, 0.4097) (multiplicity 2)
Sn (0.2695, 0.2500, 0.7479) (multiplicity 2)

[12]
A geometry-optimized SiHg structure, computed with PBE.

Calculated values
The size of the total moment comes out at 0.00 μB/f.u. As for the offset from the most stable computed form: 0.514 eV/atom.

Cell: 3.4511 3.4511 3.4511 Å, 90.00 90.00 90.00°
Space group Pm-3m (No. 221)
Asymmetric unit:
Si (0.0000, 0.0000, 0.0000) (multiplicity 1)
Hg (0.5000, 0.5000, 0.5000) (multiplicity 1)

VASP energy values, unit eV per cell, following the record order: -28.31, -37.32, -81.61, -185.49, -18.84, -58.60, -24.72, -18.66, -24.18, -31.72, -90.59, -4.41.